The following is a PBE-GGA calculation of a relaxed Li2YZr crystal, from Alexandria via LeMat-Bulk.

Summary:
Energy of formation from the pure elements, eV per atom: 0.35
SG: I4/mmm (139)
Density of states at the Fermi level, states/eV per atom: 1.16
Distance to the lowest polymorph of the same formula, meV per atom: 208.7
Total magnetization, μB/cell: 0.00

Unit cell a=4.466 b=4.466 c=9.038 alpha=90.00 beta=90.00 gamma=90.00
Fractional coordinates of all 8 atoms:
Li  0.000  0.500  0.250
Li  0.000  0.500  0.750
Li  0.500  0.000  0.250
Li  0.500  0.000  0.750
Y  0.000  0.000  0.000
Y  0.500  0.500  0.500
Zr  0.000  0.000  0.500
Zr  0.500  0.500  0.000